Computed, not measured: an optimized crystal structure of LiY2Ge3Pt4 at the PBE level of DFT.

Results
DFT total energy (eV for the cell shown): -61.91

Cell: 4.2143 4.2143 10.3689 Å, 90.00 90.00 90.00°
Space group P-4m2 (No. 115)
Symmetry-distinct sites (fractional):
Li1 0.0000 0.0000 0.0000
Y1 0.0000 0.5000 0.7521
Ge1 0.0000 0.5000 0.3632
Ge2 0.5000 0.5000 0.0000
Pt1 0.0000 0.0000 0.5000
Pt2 0.0000 0.5000 0.1314
Pt3 0.5000 0.5000 0.5000


Computed, not measured: an optimized crystal structure of TlBr2N at the PBE level of DFT.

Results
Uncorrected formation energy (meV/atom): 573
Energy above the most stable polymorph in this dataset (eV/atom): 0.0000

Cell: 6.8697 6.8697 9.7659 Å, 90.00 90.00 90.00°
Space group I4_1/amd (No. 141, origin choice 2)
Symmetry-distinct sites (fractional):
Tl1 0.0000 0.2500 0.3750
Br1 0.0000 0.0000 0.0000
N1 0.0000 0.2500 0.8750


Computed, not measured: an optimized crystal structure of ZrTaAl2O8 at the PBE level of DFT.

Results
Uncorrected formation energy (meV/atom): -2751

Cell: 6.5917 6.5917 6.3206 Å, 90.00 90.00 90.00°
Space group I-4m2 (No. 119)
Symmetry-distinct sites (fractional):
Zr1 0.0000 0.0000 0.0000
Ta1 0.0000 0.5000 0.7500
Al1 0.0000 0.0000 0.5000
Al2 0.0000 0.5000 0.2500
O1 0.0000 0.1984 0.6854
O2 0.0000 0.3157 0.0516


Computed values of ρ (unit: g/cm3) for the preceding records, in sequence: 10.7; 5.5; 5.5.